PBE-GGA Tl2CrSb, relaxed; magnetic moment = 4.36 μB per formula unit; energy relative to the lowest polymorph listed for this composition = 250 meV per atom; space group = R-3m (166); crystal system = trigonal; energy = -4.13 eV/atom; formation energy from raw total energies = 0.49 eV/atom; D(E_F) = 8.24 states/eV per cell
1.0
3.4470 0.0000 0.0000
-1.7235 2.9852 0.0000
0.0000 0.0000 29.8513
Tl Cr Sb
6 3 3
direct
0.0000 0.0000 0.2422
0.0000 0.0000 0.7578
0.3333 0.6667 0.4245
0.3333 0.6667 0.9088
0.6667 0.3333 0.0912
0.6667 0.3333 0.5755
0.0000 0.0000 0.5000
0.3333 0.6667 0.1667
0.6667 0.3333 0.8333
0.0000 0.0000 0.0000
0.3333 0.6667 0.6667
0.6667 0.3333 0.3333

PBE-GGA TlCrSb2, relaxed; magnetic moment = 3.21 μB per formula unit; energy relative to the lowest polymorph listed for this composition = 289 meV per atom; space group = Fm-3m (225); crystal system = cubic; energy = -4.63 eV/atom; formation energy from raw total energies = 0.43 eV/atom; D(E_F) = 10.19 states/eV per cell
1.0
7.3697 0.0000 0.0000
0.0000 7.3697 0.0000
0.0000 0.0000 7.3697
Tl Cr Sb
4 4 8
direct
0.0000 0.0000 0.0000
0.0000 0.5000 0.5000
0.5000 0.0000 0.5000
0.5000 0.5000 0.0000
0.0000 0.0000 0.5000
0.0000 0.5000 0.0000
0.5000 0.0000 0.0000
0.5000 0.5000 0.5000
0.2500 0.2500 0.2500
0.2500 0.2500 0.7500
0.2500 0.7500 0.2500
0.2500 0.7500 0.7500
0.7500 0.2500 0.2500
0.7500 0.2500 0.7500
0.7500 0.7500 0.2500
0.7500 0.7500 0.7500

Q: Which formula does entry 1 have?
A: Tl2CrSb

Q: Among the records above, which one has the lowest formation energy from raw total energies?
A: TlCrSb2

Q: Which formula does entry 2 have?
A: TlCrSb2

Q: What is the formula in the first record?
A: Tl2CrSb